[1]
A relaxed PrDyIr crystal, computed with PBE-GGA.

Cell: 7.2885 4.7811 9.0431 Å, 90.00 90.00 90.00°
Closest atoms and distances in Å follow each position.
Positions (direct):
Pr: 0.1414 0.2500 0.0917  4 Ir 2.99-3.02
Pr: 0.3586 0.7500 0.5917  4 Ir 2.99-3.02
Pr: 0.6414 0.2500 0.4083  4 Ir 2.99-3.02
Pr: 0.8586 0.7500 0.9083  4 Ir 2.99-3.02
Dy: 0.9997 0.2500 0.6552  3 Ir 2.75-3.00
Dy: 0.0003 0.7500 0.3448  3 Ir 2.75-3.00
Dy: 0.4997 0.2500 0.8448  3 Ir 2.75-3.00
Dy: 0.5003 0.7500 0.1552  3 Ir 2.75-3.00
Ir: 0.2319 0.2500 0.4160  3 Dy 2.75-3.00, 4 Pr 2.99-3.02
Ir: 0.2681 0.7500 0.9160  3 Dy 2.75-3.00, 4 Pr 2.99-3.02
Ir: 0.7319 0.2500 0.0840  3 Dy 2.75-3.00, 4 Pr 2.99-3.02
Ir: 0.7681 0.7500 0.5840  3 Dy 2.75-3.00, 4 Pr 2.99-3.02

Computed properties:
SG: Pnma, No. 62
Energy of formation in meV per atom: -600
Total moment in μB per formula unit: 0.0


[2]
A relaxed Nd2AuSe3 crystal, computed with PBE-GGA.

Cell: 8.0937 4.1140 18.1951 Å, 90.00 90.00 90.00°
Closest atoms and distances in Å follow each position.
Positions (direct):
Nd: 0.0468 0.2500 0.2056  6 Se 2.98-3.05
Nd: 0.2247 0.7500 0.5011  5 Se 2.98-3.12, 3 Au 3.09-3.10
Nd: 0.2753 0.2500 0.0011  5 Se 2.98-3.12, 3 Au 3.09-3.10
Nd: 0.4532 0.7500 0.7056  6 Se 2.98-3.05
Nd: 0.5468 0.2500 0.2944  6 Se 2.98-3.05
Nd: 0.7247 0.7500 0.9989  5 Se 2.98-3.12, 3 Au 3.09-3.10
Nd: 0.7753 0.2500 0.4989  5 Se 2.98-3.12, 3 Au 3.09-3.10
Nd: 0.9532 0.7500 0.7944  6 Se 2.98-3.05
Au: 0.0701 0.2500 0.6075  3 Se 2.66-2.73
Au: 0.4299 0.7500 0.1075  3 Se 2.66-2.73
Au: 0.5701 0.2500 0.8925  3 Se 2.66-2.73
Au: 0.9299 0.7500 0.3925  3 Se 2.66-2.73
Se: 0.0493 0.7500 0.0819  5 Nd 3.03-3.12, 1 Au 3.12
Se: 0.1522 0.2500 0.3874  2 Au 2.73, 2 Nd 2.98
Se: 0.1932 0.2500 0.7428  1 Au 2.66
Se: 0.3068 0.7500 0.2428  1 Au 2.66
Se: 0.3478 0.7500 0.8874  2 Au 2.73, 2 Nd 2.98
Se: 0.4507 0.2500 0.5819  5 Nd 3.03-3.12, 1 Au 3.12
Se: 0.5493 0.7500 0.4181  5 Nd 3.03-3.12, 1 Au 3.12
Se: 0.6522 0.2500 0.1126  2 Au 2.73, 2 Nd 2.98
Se: 0.6932 0.2500 0.7572  1 Au 2.66
Se: 0.8068 0.7500 0.2572  1 Au 2.66
Se: 0.8478 0.7500 0.6126  2 Au 2.73, 2 Nd 2.98
Se: 0.9507 0.2500 0.9181  5 Nd 3.03-3.12, 1 Au 3.12

Computed properties:
SG: Pnma, No. 62
Total moment in μB per formula unit: 0.0
E_tot in eV per atom: -5.261